# 1
Below is Pu2As3PdRh4 after structural relaxation, with properties calculated at the GGA-PBE level.

The structure in CIF format:
```
data_Pu2As3PdRh4
_chemical_formula_sum 'Pu2 As3 Pd1 Rh4'
_space_group_name_H-M_alt 'P -4 m 2'
_space_group_IT_number 115
_cell_length_a 3.990
_cell_length_b 3.990
_cell_length_c 11.368
_cell_angle_alpha 90.00
_cell_angle_beta 90.00
_cell_angle_gamma 90.00
loop_
_space_group_symop_operation_xyz
'x,y,z'
'y,-x,-z'
'-x,-y,z'
'-y,x,-z'
'-x,y,z'
'-y,-x,-z'
'x,-y,z'
'y,x,-z'
loop_
_atom_site_label
_atom_site_type_symbol
_atom_site_fract_x
_atom_site_fract_y
_atom_site_fract_z
Pu1 Pu 0.000 0.500 0.235
As1 As 0.000 0.000 0.000
As2 As 0.000 0.500 0.627
Pd1 Pd 0.500 0.500 0.000
Rh1 Rh 0.000 0.000 0.500
Rh2 Rh 0.000 0.500 0.836
Rh3 Rh 0.500 0.500 0.500
```

Properties
- DOS at the Fermi energy (states/eV per atom) = 2.15
- energy relative to the elements (eV/atom) = -0.652
- spin magnetization (μB per cell) = 9.73


# 2
Below is PuAs3PdRh2 after structural relaxation, with properties calculated at the GGA-PBE level.

The structure in CIF format:
```
data_PuAs3PdRh2
_chemical_formula_sum 'Pu6 As18 Pd6 Rh12'
_space_group_name_H-M_alt 'R -3 m'
_space_group_IT_number 166
_space_group_name_Hall '-R 3 2"'
_cell_length_a 7.5135
_cell_length_b 7.5135
_cell_length_c 18.3858
_cell_angle_alpha 90.00
_cell_angle_beta 90.00
_cell_angle_gamma 120.00
loop_
_atom_site_label
_atom_site_type_symbol
_atom_site_fract_x
_atom_site_fract_y
_atom_site_fract_z
Pu1 Pu 0.0000 0.0000 0.2438
As1 As 0.0415 0.5208 0.2562
Pd1 Pd 0.0000 0.0000 0.0906
Rh1 Rh 0.0000 0.0000 0.5000
Rh2 Rh 0.0000 0.5000 0.0000
```

Properties
- DOS at the Fermi energy (states/eV per atom) = 1.76
- energy relative to the elements (eV/atom) = -0.310
- spin magnetization (μB per cell) = 28.47


# 3
Below is Pu2As4Pd3Rh after structural relaxation, with properties calculated at the GGA-PBE level.

The structure in CIF format:
```
data_Pu2As4Pd3Rh
_chemical_formula_sum 'Pu2 As4 Pd3 Rh1'
_space_group_name_H-M_alt 'P -4 m 2'
_space_group_IT_number 115
_cell_length_a 4.397
_cell_length_b 4.397
_cell_length_c 9.857
_cell_angle_alpha 90.00
_cell_angle_beta 90.00
_cell_angle_gamma 90.00
loop_
_space_group_symop_operation_xyz
'x,y,z'
'y,-x,-z'
'-x,-y,z'
'-y,x,-z'
'-x,y,z'
'-y,-x,-z'
'x,-y,z'
'y,x,-z'
loop_
_atom_site_label
_atom_site_type_symbol
_atom_site_fract_x
_atom_site_fract_y
_atom_site_fract_z
Pu1 Pu 0.000 0.500 0.244
As1 As 0.000 0.000 0.000
As2 As 0.000 0.500 0.630
As3 As 0.500 0.500 0.000
Pd1 Pd 0.000 0.500 0.876
Pd2 Pd 0.500 0.500 0.500
Rh1 Rh 0.000 0.000 0.500
```

Properties
- DOS at the Fermi energy (states/eV per atom) = 2.93
- energy relative to the elements (eV/atom) = -0.626
- spin magnetization (μB per cell) = 10.80


# 4
Below is PuAs2Pd2Rh after structural relaxation, with properties calculated at the GGA-PBE level.

The structure in CIF format:
```
data_PuAs2Pd2Rh
_chemical_formula_sum 'Pu2 As4 Pd4 Rh2'
_space_group_name_H-M_alt 'I 4/m m m'
_space_group_IT_number 139
_space_group_name_Hall '-I 4 2'
_cell_length_a 3.837
_cell_length_b 3.837
_cell_length_c 18.290
_cell_angle_alpha 90.00
_cell_angle_beta 90.00
_cell_angle_gamma 90.00
loop_
_atom_site_label
_atom_site_type_symbol
_atom_site_fract_x
_atom_site_fract_y
_atom_site_fract_z
Pu1 Pu 0.000 0.000 0.000
As1 As 0.000 0.000 0.160
Pd1 Pd 0.000 0.500 0.250
Rh1 Rh 0.000 0.000 0.500
```

Properties
- DOS at the Fermi energy (states/eV per atom) = 1.95
- energy relative to the elements (eV/atom) = -0.004
- spin magnetization (μB per cell) = 10.29


# 5
Below is Pu2As4PdRh3 after structural relaxation, with properties calculated at the GGA-PBE level.

The structure in CIF format:
```
data_Pu2As4PdRh3
_chemical_formula_sum 'Pu2 As4 Pd1 Rh3'
_space_group_name_H-M_alt 'P -4 m 2'
_space_group_IT_number 115
_cell_length_a 4.317
_cell_length_b 4.317
_cell_length_c 9.913
_cell_angle_alpha 90.00
_cell_angle_beta 90.00
_cell_angle_gamma 90.00
loop_
_space_group_symop_operation_xyz
'x,y,z'
'y,-x,-z'
'-x,-y,z'
'-y,x,-z'
'-x,y,z'
'-y,-x,-z'
'x,-y,z'
'y,x,-z'
loop_
_atom_site_label
_atom_site_type_symbol
_atom_site_fract_x
_atom_site_fract_y
_atom_site_fract_z
Pu1 Pu 0.000 0.500 0.245
As1 As 0.000 0.000 0.000
As2 As 0.000 0.500 0.638
As3 As 0.500 0.500 0.000
Pd1 Pd 0.000 0.000 0.500
Rh1 Rh 0.000 0.500 0.881
Rh2 Rh 0.500 0.500 0.500
```

Properties
- DOS at the Fermi energy (states/eV per atom) = 3.06
- energy relative to the elements (eV/atom) = -0.681
- spin magnetization (μB per cell) = 10.48


# 6
Below is PuSb2As2Pd7 after structural relaxation, with properties calculated at the GGA-PBE level.

The structure in CIF format:
```
data_PuSb2As2Pd7
_chemical_formula_sum 'Pu2 Sb4 As4 Pd14'
_space_group_name_H-M_alt 'C 1 2/m 1'
_space_group_IT_number 12
_cell_length_a 5.644
_cell_length_b 5.647
_cell_length_c 15.712
_cell_angle_alpha 90.00
_cell_angle_beta 100.27
_cell_angle_gamma 90.00
loop_
_space_group_symop_operation_xyz
'x,y,z'
'-x,-y,-z'
'-x,y,-z'
'x,-y,z'
'x+1/2,y+1/2,z'
'-x+1/2,-y+1/2,-z'
'-x+1/2,y+1/2,-z'
'x+1/2,-y+1/2,z'
loop_
_atom_site_label
_atom_site_type_symbol
_atom_site_fract_x
_atom_site_fract_y
_atom_site_fract_z
Pu1 Pu 0.000 0.000 0.000
Sb1 Sb 0.213 0.000 0.428
As1 As 0.119 0.500 0.240
Pd1 Pd 0.000 0.500 0.000
Pd2 Pd 0.179 0.250 0.855
Pd3 Pd 0.199 0.500 0.399
```

Properties
- uncorrected formation energy (eV per atom) = -0.377
- DOS at the Fermi energy (states/eV per atom) = 1.51
- spin magnetization (μB per cell) = 10.01


# 7
Below is Pu2SbAs3Pd4 after structural relaxation, with properties calculated at the GGA-PBE level.

The structure in CIF format:
```
data_Pu2SbAs3Pd4
_chemical_formula_sum 'Pu2 Sb1 As3 Pd4'
_space_group_name_H-M_alt 'P -4 m 2'
_space_group_IT_number 115
_cell_length_a 4.310
_cell_length_b 4.310
_cell_length_c 10.824
_cell_angle_alpha 90.00
_cell_angle_beta 90.00
_cell_angle_gamma 90.00
loop_
_space_group_symop_operation_xyz
'x,y,z'
'y,-x,-z'
'-x,-y,z'
'-y,x,-z'
'-x,y,z'
'-y,-x,-z'
'x,-y,z'
'y,x,-z'
loop_
_atom_site_label
_atom_site_type_symbol
_atom_site_fract_x
_atom_site_fract_y
_atom_site_fract_z
Pu1 Pu 0.000 0.500 0.231
Sb1 Sb 0.000 0.000 0.500
As1 As 0.000 0.500 0.868
As2 As 0.500 0.500 0.500
Pd1 Pd 0.000 0.000 0.000
Pd2 Pd 0.000 0.500 0.643
Pd3 Pd 0.500 0.500 0.000
```

Properties
- uncorrected formation energy (eV per atom) = -0.595
- DOS at the Fermi energy (states/eV per atom) = 3.10
- spin magnetization (μB per cell) = 10.83


# 8
Below is Pu3SbAs2Pd9 after structural relaxation, with properties calculated at the GGA-PBE level.

The structure in CIF format:
```
data_Pu3SbAs2Pd9
_chemical_formula_sum 'Pu3 Sb1 As2 Pd9'
_space_group_name_H-M_alt 'P -3 m 1'
_space_group_IT_number 164
_space_group_name_Hall '-P 3 2"'
_cell_length_a 7.0330
_cell_length_b 7.0330
_cell_length_c 7.7638
_cell_angle_alpha 90.00
_cell_angle_beta 90.00
_cell_angle_gamma 120.00
loop_
_atom_site_label
_atom_site_type_symbol
_atom_site_fract_x
_atom_site_fract_y
_atom_site_fract_z
Pu1 Pu 0.0000 0.0000 0.0000
Pu2 Pu 0.3333 0.6667 0.7047
Sb1 Sb 0.0000 0.0000 0.5000
As1 As 0.3333 0.6667 0.1580
Pd1 Pd 0.0000 0.5000 0.0000
Pd2 Pd 0.1973 0.3946 0.3867
```

Properties
- uncorrected formation energy (eV per atom) = -0.285
- DOS at the Fermi energy (states/eV per atom) = 4.11
- spin magnetization (μB per cell) = 4.72